# PrY6Ho2Er, optimized geometry, DFT PBE-GGA
# E_tot	-5.6063	eV/atom
# E_form	0.12	eV/atom
# total magnetic moment	0.0	Bohr magnetons per cell
# crystal system	monoclinic
data_PrY6Ho2Er
_chemical_formula_sum 'Pr4 Y24 Ho8 Er4'
_cell_length_a 9.1321
_cell_length_b 14.9563
_cell_length_c 9.7090
_cell_angle_alpha 90.00
_cell_angle_beta 99.10
_cell_angle_gamma 90.00
_space_group_name_H-M_alt 'C 1 2/c 1'
_space_group_IT_number 15
_space_group_name_Hall '-C 2yc'
loop_
_atom_site_label
_atom_site_type_symbol
_atom_site_fract_x
_atom_site_fract_y
_atom_site_fract_z
_atom_site_occupancy
Pr1 Pr 0.0000 0.0949 0.2500 1
Y1 Y 0.0645 0.3170 0.4441 1
Y2 Y 0.1009 0.1046 0.6197 1
Y3 Y 0.2005 0.2755 0.8183 1
Ho1 Ho 0.2410 0.4502 0.0455 1
Er1 Er 0.0000 0.4764 0.7500 1


# UTi2Ru, optimized geometry, DFT PBE-GGA
# E_tot	-9.1108	eV/atom
# E_form	-0.02	eV/atom
# total magnetic moment	1.4	Bohr magnetons per cell
# crystal system	tetragonal
# energy above the lowest structure with this stoichiometry	0.2014	eV/atom
data_UTi2Ru
_chemical_formula_sum 'U1 Ti2 Ru1'
_cell_length_a 4.6430
_cell_length_b 4.6430
_cell_length_c 3.0891
_cell_angle_alpha 90.00
_cell_angle_beta 90.00
_cell_angle_gamma 90.00
_space_group_name_H-M_alt 'P 4/m m m'
_space_group_IT_number 123
_space_group_name_Hall '-P 4 2'
loop_
_atom_site_label
_atom_site_type_symbol
_atom_site_fract_x
_atom_site_fract_y
_atom_site_fract_z
_atom_site_occupancy
U1 U 0.0000 0.0000 0.0000 1
Ti1 Ti 0.0000 0.5000 0.5000 1
Ru1 Ru 0.5000 0.5000 0.0000 1


# Tm8Os2Pd, optimized geometry, DFT PBE-GGA
# E_tot	-6.0785	eV/atom
# E_form	-0.31	eV/atom
# total magnetic moment	0.0	Bohr magnetons per cell
# crystal system	monoclinic
# energy above the lowest structure with this stoichiometry	0.0432	eV/atom
data_Tm8Os2Pd
_chemical_formula_sum 'Tm16 Os4 Pd2'
_cell_length_a 8.5005
_cell_length_b 12.3617
_cell_length_c 5.6200
_cell_angle_alpha 90.00
_cell_angle_beta 106.71
_cell_angle_gamma 90.00
_space_group_name_H-M_alt 'C 1 m 1'
_space_group_IT_number 8
_space_group_name_Hall 'C -2y'
loop_
_atom_site_label
_atom_site_type_symbol
_atom_site_fract_x
_atom_site_fract_y
_atom_site_fract_z
_atom_site_occupancy
Tm1 Tm 0.0000 0.0000 0.0000 1
Tm2 Tm 0.0695 0.3685 0.7895 1
Tm3 Tm 0.1654 0.1318 0.5992 1
Tm4 Tm 0.2404 0.5000 0.3859 1
Tm5 Tm 0.3690 0.2262 0.1923 1
Os1 Os 0.3671 0.3128 0.6917 1
Pd1 Pd 0.3709 0.0000 0.0881 1


# AcGd2Br, optimized geometry, DFT PBE-GGA
# raw formation energy	-0.54	eV/atom
# E_tot	-9.0213	eV/atom
# total magnetic moment	42.5	Bohr magnetons per cell
# crystal system	trigonal
data_AcGd2Br
_chemical_formula_sum 'Ac3 Gd6 Br3'
_cell_length_a 3.7922
_cell_length_b 3.7922
_cell_length_c 31.4894
_cell_angle_alpha 90.00
_cell_angle_beta 90.00
_cell_angle_gamma 120.00
_space_group_name_H-M_alt 'R -3 m'
_space_group_IT_number 166
_space_group_name_Hall '-R 3 2"'
loop_
_atom_site_label
_atom_site_type_symbol
_atom_site_fract_x
_atom_site_fract_y
_atom_site_fract_z
_atom_site_occupancy
Ac1 Ac 0.0000 0.0000 0.0000 1
Gd1 Gd 0.0000 0.0000 0.2393 1
Br1 Br 0.0000 0.0000 0.5000 1


# RbCaPt2, optimized geometry, DFT PBE-GGA
# E_tot	-3.7566	eV/atom
# E_form	0.01	eV/atom
# total magnetic moment	0.0	Bohr magnetons per cell
# crystal system	cubic
# energy above the lowest structure with this stoichiometry	0.1427	eV/atom
data_RbCaPt2
_chemical_formula_sum 'Rb4 Ca4 Pt8'
_cell_length_a 7.2965
_cell_length_b 7.2965
_cell_length_c 7.2965
_cell_angle_alpha 90.00
_cell_angle_beta 90.00
_cell_angle_gamma 90.00
_space_group_name_H-M_alt 'F m -3 m'
_space_group_IT_number 225
_space_group_name_Hall '-F 4 2 3'
loop_
_atom_site_label
_atom_site_type_symbol
_atom_site_fract_x
_atom_site_fract_y
_atom_site_fract_z
_atom_site_occupancy
Rb1 Rb 0.0000 0.0000 0.0000 1
Ca1 Ca 0.0000 0.0000 0.5000 1
Pt1 Pt 0.2500 0.2500 0.2500 1


# GdErAgGe, optimized geometry, DFT PBE-GGA
# E_tot	-7.0644	eV/atom
# E_form	-0.54	eV/atom
# total magnetic moment	31.2	Bohr magnetons per cell
# crystal system	cubic
data_GdErAgGe
_chemical_formula_sum 'Gd4 Er4 Ag4 Ge4'
_cell_length_a 7.1858
_cell_length_b 7.1858
_cell_length_c 7.1858
_cell_angle_alpha 90.00
_cell_angle_beta 90.00
_cell_angle_gamma 90.00
_space_group_name_H-M_alt 'F -4 3 m'
_space_group_IT_number 216
_space_group_name_Hall 'F -4 2 3'
loop_
_atom_site_label
_atom_site_type_symbol
_atom_site_fract_x
_atom_site_fract_y
_atom_site_fract_z
_atom_site_occupancy
Gd1 Gd 0.0000 0.0000 0.0000 1
Er1 Er 0.0000 0.0000 0.5000 1
Ag1 Ag 0.2500 0.2500 0.2500 1
Ge1 Ge 0.2500 0.2500 0.7500 1


# NaSbTe2Ir, optimized geometry, DFT PBE-GGA
# raw formation energy	1.45	eV/atom
# E_tot	-2.6655	eV/atom
# total magnetic moment	0.0	Bohr magnetons per cell
# crystal system	tetragonal
# energy above the lowest structure with this stoichiometry	1.3187	eV/atom
data_NaSbTe2Ir
_chemical_formula_sum 'Na1 Sb1 Te2 Ir1'
_cell_length_a 5.2516
_cell_length_b 5.2516
_cell_length_c 5.1174
_cell_angle_alpha 90.00
_cell_angle_beta 90.00
_cell_angle_gamma 90.00
_space_group_name_H-M_alt 'P 4/m m m'
_space_group_IT_number 123
_space_group_name_Hall '-P 4 2'
loop_
_atom_site_label
_atom_site_type_symbol
_atom_site_fract_x
_atom_site_fract_y
_atom_site_fract_z
_atom_site_occupancy
Na1 Na 0.0000 0.0000 0.0000 1
Sb1 Sb 0.0000 0.0000 0.5000 1
Te1 Te 0.0000 0.5000 0.0000 1
Ir1 Ir 0.5000 0.5000 0.5000 1